An optimized crystal structure of PmEuMgPb, computed with GGA-PBE.

Summary:
The calculated total energy is -5.412 eV per atom. The value obtained for the formation enthalpy at 0 K is -0.33 eV/atom.

The structure in CIF format:
```
data_PmEuMgPb
_space_group_name_H-M_alt 'P 1'
_space_group_IT_number 1
_cell_length_a 5.544
_cell_length_b 5.544
_cell_length_c 5.544
_cell_angle_alpha 60.00
_cell_angle_beta 60.00
_cell_angle_gamma 60.00
loop_
_space_group_symop_operation_xyz
'x,y,z'
loop_
_atom_site_label
_atom_site_fract_x
_atom_site_fract_y
_atom_site_fract_z
Pm1 0.000 0.000 0.000
Eu1 0.500 0.500 0.500
Mg1 0.250 0.250 0.250
Pb1 0.750 0.750 0.750
```